[1]
Density functional theory data (PBE) for a relaxed Mg2GaAgAu crystal.

Output
Total DFT energy (no corrections) = -2.7920 eV/atom
Formation energy from the elements = -156 kJ/mol of formula units
Size of the total moment = 0.00 μB per formula unit
Density of states at the Fermi level = 0.218 states/eV/atom

abc: 5.887 4.456 7.591
angles: 90.00 110.51 90.00
Fractional coordinates of all 10 atoms:
1 Mg 0.018 0.250 0.197
2 Mg 0.398 0.750 0.588
3 Mg 0.602 0.250 0.412
4 Mg 0.982 0.750 0.803
5 Ga 0.336 0.250 0.984
6 Ga 0.664 0.750 0.016
7 Ag 0.104 0.250 0.614
8 Ag 0.896 0.750 0.386
9 Au 0.337 0.750 0.198
10 Au 0.663 0.250 0.802

***

[2]
Density functional theory data (PBE) for a relaxed HfMgZnIn crystal.

Output
Total DFT energy (no corrections) = -4.0324 eV/atom
Formation energy from the elements = -55 kJ/mol of formula units
Size of the total moment = 0.00 μB per formula unit
Density of states at the Fermi level = 0.566 states/eV/atom

abc: 4.166 4.335 4.341
angles: 90.00 90.00 90.00
Fractional coordinates of all 4 atoms:
1 Hf 0.000 0.000 0.000
2 Mg 0.000 0.500 0.500
3 Zn 0.500 0.000 0.500
4 In 0.500 0.500 0.000

***

[3]
Density functional theory data (PBE) for a relaxed Sr3CoSi crystal.

Output
Total DFT energy (no corrections) = -3.1375 eV/atom
Size of the total moment = 1.03 μB per formula unit
Density of states at the Fermi level = 2.204 states/eV/atom
Energy relative to the elements, uncorrected = 0.377 eV/atom
Energy above the lowest structure with this stoichiometry = 0.0 kJ/mol of formula units

abc: 5.498 5.498 5.498
angles: 90.00 90.00 90.00
Fractional coordinates of all 5 atoms:
1 Sr 0.000 0.000 0.500
2 Sr 0.000 0.500 0.000
3 Sr 0.500 0.000 0.000
4 Co 0.000 0.000 0.000
5 Si 0.500 0.500 0.500

***

[4]
Density functional theory data (PBE) for a relaxed TlAg4Te2 crystal.

Output
Total DFT energy (no corrections) = -2.9167 eV/atom
Size of the total moment = 0.00 μB per formula unit
Density of states at the Fermi level = 0.391 states/eV/atom
Energy relative to the elements, uncorrected = -0.052 eV/atom
Energy above the lowest structure with this stoichiometry = 9.4 kJ/mol of formula units

abc: 9.718 9.718 9.718
angles: 27.96 27.96 27.96
Fractional coordinates of all 7 atoms:
1 Tl 0.000 0.000 0.000
2 Ag 0.153 0.153 0.153
3 Ag 0.447 0.447 0.447
4 Ag 0.553 0.553 0.553
5 Ag 0.847 0.847 0.847
6 Te 0.258 0.258 0.258
7 Te 0.742 0.742 0.742